Entry 1:
4
Lattice="0.000 3.446 3.446 3.446 0.000 3.446 3.446 3.446 0.000" Properties=species:S:1:pos:R:3 comment="Hf2AlIn PBE-GGA relaxed" e_tot_ev_per_cell=-26.581 space_group="Fm-3m (225)" dos_ef_per_ev_cell=6.23 magnetic_moment_mub_per_fu=0.0 pbc="T T T"
Hf 1.723 1.723 1.723
Hf 5.169 5.169 5.169
Al 0.000 0.000 0.000
In 3.446 3.446 3.446



Entry 2:
4
Lattice="4.014 0.000 0.000 2.007 3.476 0.000 2.007 1.159 9.783" Properties=species:S:1:pos:R:3 comment="Ce2CdOs PBE-GGA relaxed" e_tot_ev_per_cell=-23.487 space_group="R-3m (166)" dos_ef_per_ev_cell=11.89 magnetic_moment_mub_per_fu=1.2 pbc="T T T"
Os 4.014 2.317 4.892
Ce 2.007 1.159 6.379
Ce 6.021 3.476 3.404
Cd 0.000 0.000 0.000



Entry 3:
8
Lattice="-1.393 -3.252 1.005 1.180 0.557 3.439 -16.808 8.552 4.381" Properties=species:S:1:pos:R:3 comment="La3Y4Cd PBE-GGA relaxed" e_tot_ev_per_cell=-42.079 space_group="P4/mmm (123)" dos_ef_per_ev_cell=13.22 magnetic_moment_mub_per_fu=0.0 pbc="T T T"
Y -15.100 7.683 3.936
Y -1.708 0.869 0.445
Y -6.174 3.141 1.609
Y -10.634 5.411 2.772
Cd -0.106 -1.348 2.222
La -4.038 0.653 3.247
La -8.510 2.928 4.413
La -12.983 5.204 5.579



Entry 4:
5
Lattice="-3.822 2.316 -1.257 -2.003 -4.224 -1.691 -1.855 -0.794 4.180" Properties=species:S:1:pos:R:3 comment="VSnSbMo2 PBE-GGA relaxed" e_tot_ev_per_cell=-33.465 space_group="P4/mmm (123)" e_form_raw_ev_per_atom=1.088 dos_ef_per_ev_cell=4.92 magnetic_moment_mub_per_fu=0.0 pbc="T T T"
Sb -3.840 -1.351 0.616
Mo -0.928 -0.397 2.090
Mo -1.911 1.158 -0.628
Sn -1.002 -2.112 -0.846
V 0.000 0.000 0.000



Entry 5:
10
Lattice="9.299 0.000 0.000 0.000 9.299 0.000 0.000 0.000 4.653" Properties=species:S:1:pos:R:3 comment="Cs2BrO2 PBE-GGA relaxed" e_tot_ev_per_cell=-37.879 space_group="P4/mbm (127)" e_form_raw_ev_per_atom=-1.129 dos_ef_per_ev_cell=0.00 magnetic_moment_mub_per_fu=1.0 pbc="T T T"
Cs 3.194 7.844 0.000
Cs 7.844 6.104 0.000
Cs 6.104 1.455 0.000
Cs 1.455 3.194 0.000
O 8.817 4.168 2.327
O 4.168 0.481 2.327
O 0.481 5.131 2.327
O 5.131 8.817 2.327
Br 0.000 0.000 0.000
Br 4.649 4.649 0.000



Entry 6:
16
Lattice="7.970 0.000 0.000 0.000 8.319 0.238 -3.985 -3.980 5.640" Properties=species:S:1:pos:R:3 comment="Er8PPt3Se4 PBE-GGA relaxed" e_tot_ev_per_cell=-98.140 space_group="R-3m (166)" e_form_raw_ev_per_atom=-1.510 dos_ef_per_ev_cell=9.30 magnetic_moment_mub_per_fu=0.0 pbc="T T T"
Er -1.980 2.166 5.744
Er 0.000 4.144 2.942
Er 0.000 0.203 2.959
Er 1.980 2.166 5.744
Er 2.005 2.173 0.134
Er 3.985 4.137 2.919
Er 3.985 0.196 2.937
Er 5.966 2.173 0.134
P 0.000 4.160 0.119
Pt 3.985 4.160 0.119
Pt 1.993 2.170 2.939
Pt -1.993 2.170 2.939
Se 3.985 0.000 0.000
Se 1.993 -1.990 2.820
Se 0.000 0.000 0.000
Se -1.993 -1.990 2.820